Record 1
LaTmGaSe3: relaxed, GGA-PBE.

Lattice parameters (Å, degrees): 7.6337 7.6337 9.7961 90.00 90.00 148.90
Closest atoms and distances in Å follow each position.
Positions (direct):
Se 0.1435 0.8565 0.4568  1 Ga 2.70, 2 Tm 2.97
Se 0.3783 0.6217 0.2500  2 Ga 2.94, 2 La 3.01, 2 Tm 3.03
Se 0.1435 0.8565 0.0432  1 Ga 2.70, 2 Tm 2.97
Se 0.8565 0.1435 0.5432  1 Ga 2.70, 2 Tm 2.97
Se 0.6217 0.3783 0.7500  2 Ga 2.94, 2 La 3.01, 2 Tm 3.03
Se 0.8565 0.1435 0.9568  1 Ga 2.70, 2 Tm 2.97
Ga 0.0220 0.9780 0.2500  4 Se 2.70-2.94
Ga 0.9780 0.0220 0.7500  4 Se 2.70-2.94
La 0.7284 0.2716 0.2500  6 Se 3.01-3.14
La 0.2716 0.7284 0.7500  6 Se 3.01-3.14
Tm 0.5000 0.5000 0.0000  6 Se 2.97-3.03, 4 Ga 3.21
Tm 0.5000 0.5000 0.5000  6 Se 2.97-3.03, 4 Ga 3.21

Output
Magnetic moment: 0.0 μB per cell
Crystal system: orthorhombic
VASP energy: -5.14 eV per atom

Record 2
LaSmGa2: relaxed, GGA-PBE.

Lattice parameters (Å, degrees): 4.1917 6.1075 6.1075 42.96 90.00 90.00
Closest atoms and distances in Å follow each position.
Positions (direct):
Sm 0.0000 0.6379 0.6379  7 Ga 3.15-3.35
Ga 0.0000 0.9329 0.9329  2 Ga 2.63
Ga 0.5000 0.0726 0.0726  2 Ga 2.63
La 0.5000 0.3567 0.3567  7 Ga 3.18-3.32

Output
Magnetic moment: 0.0 μB per cell
Crystal system: orthorhombic
VASP energy: -4.52 eV per atom

Record 3
LaSmGa5: relaxed, GGA-PBE.

Lattice parameters (Å, degrees): 4.4288 4.4288 8.4470 90.00 90.00 90.00
Closest atoms and distances in Å follow each position.
Positions (direct):
Ga 0.0000 0.5000 0.7410  2 Sm 3.01, 2 La 3.11, 6 Ga 3.11-3.13
Ga 0.5000 0.5000 0.0000  8 Ga 3.11, 4 La 3.13
Ga 0.5000 0.0000 0.2590  2 Sm 3.01, 2 La 3.11, 6 Ga 3.11-3.13
Ga 0.5000 0.0000 0.7410  2 Sm 3.01, 2 La 3.11, 6 Ga 3.11-3.13
Ga 0.0000 0.5000 0.2590  2 Sm 3.01, 2 La 3.11, 6 Ga 3.11-3.13
Sm 0.0000 0.0000 0.5000  8 Ga 3.01
La 0.0000 0.0000 0.0000  12 Ga 3.11-3.13

Output
Magnetic moment: 0.0 μB per cell
Crystal system: tetragonal
VASP energy: -3.91 eV per atom

Record 4
La2SmGa2: relaxed, GGA-PBE.

Lattice parameters (Å, degrees): 7.7972 7.9265 4.6701 90.00 90.00 90.00
Closest atoms and distances in Å follow each position.
Positions (direct):
Ga 0.3828 0.8798 0.0000  1 Ga 2.64
Ga 0.6172 0.1202 0.0000  1 Ga 2.64
Ga 0.8828 0.6202 0.0000  1 Ga 2.64
Ga 0.1172 0.3798 0.0000  1 Ga 2.64
La 0.6743 0.8302 0.5000  6 Ga 3.28-3.31
La 0.1743 0.6698 0.5000  6 Ga 3.28-3.31
La 0.8257 0.3302 0.5000  6 Ga 3.28-3.31
La 0.3257 0.1698 0.5000  6 Ga 3.28-3.31
Sm 0.5000 0.5000 0.0000  4 Ga 3.13-3.15
Sm 0.0000 0.0000 0.0000  4 Ga 3.13-3.15

Output
Magnetic moment: 0.0 μB per cell
Crystal system: orthorhombic
VASP energy: -4.61 eV per atom

Record 5
LaSmGa4: relaxed, GGA-PBE.

Lattice parameters (Å, degrees): 9.8877 9.8877 6.7567 90.00 90.00 155.05
Closest atoms and distances in Å follow each position.
Positions (direct):
Ga 0.9268 0.0732 0.7500  8 Ga 2.87-3.07, 1 Sm 3.13, 1 La 3.16
Ga 0.3553 0.6447 0.5524  4 Ga 2.67-2.87
Ga 0.3553 0.6447 0.9476  4 Ga 2.67-2.87
Ga 0.6447 0.3553 0.0524  4 Ga 2.67-2.87
Ga 0.5000 0.5000 0.5000  6 Ga 2.82-3.07
Ga 0.0732 0.9268 0.2500  8 Ga 2.87-3.07, 1 Sm 3.13, 1 La 3.16
Ga 0.6447 0.3553 0.4476  4 Ga 2.67-2.87
Ga 0.5000 0.5000 0.0000  6 Ga 2.82-3.07
La 0.9095 0.0905 0.2500  11 Ga 3.14-3.39
La 0.0905 0.9095 0.7500  11 Ga 3.14-3.39
Sm 0.2353 0.7647 0.2500  7 Ga 3.07-3.13
Sm 0.7647 0.2353 0.7500  7 Ga 3.07-3.13

Output
Magnetic moment: 0.0 μB per cell
Crystal system: orthorhombic
VASP energy: -4.20 eV per atom

Record 6
LaSmGa3: relaxed, GGA-PBE.

Lattice parameters (Å, degrees): 13.2551 13.2551 4.2578 90.00 90.00 160.78
Closest atoms and distances in Å follow each position.
Positions (direct):
Sm 0.2032 0.7968 0.7500  7 Ga 3.10-3.17
Sm 0.7968 0.2032 0.2500  7 Ga 3.10-3.17
Ga 0.3244 0.6756 0.7500  2 Ga 2.58
Ga 0.6756 0.3244 0.2500  2 Ga 2.58
Ga 0.5240 0.4760 0.7500  3 Ga 2.47-2.51
Ga 0.3799 0.6201 0.2500  3 Ga 2.51-2.58
Ga 0.6201 0.3799 0.7500  3 Ga 2.51-2.58
Ga 0.4760 0.5240 0.2500  3 Ga 2.47-2.51
La 0.0736 0.9264 0.2500  12 Ga 3.30-3.47
La 0.9264 0.0736 0.7500  12 Ga 3.30-3.47

Output
Magnetic moment: 0.0 μB per cell
Crystal system: orthorhombic
VASP energy: -4.41 eV per atom

Record 7
LaTaGa: relaxed, GGA-PBE.

Lattice parameters (Å, degrees): 4.6836 4.6836 4.6836 60.00 60.00 60.00
Closest atoms and distances in Å follow each position.
Positions (direct):
Ta 0.0000 0.0000 0.0000  4 Ga 2.87, 4 La 2.87
Ga 0.2500 0.2500 0.2500  4 Ta 2.87
La 0.7500 0.7500 0.7500  4 Ta 2.87

Output
Magnetic moment: 0.1 μB per cell
Crystal system: cubic
Energy above the most stable polymorph in this dataset: 0 meV/atom
VASP energy: -5.93 eV per atom

Record 8
LaTaGa: relaxed, GGA-PBE.

Lattice parameters (Å, degrees): 4.9490 4.9490 4.9490 60.00 60.00 60.00
Closest atoms and distances in Å follow each position.
Positions (direct):
Ga 0.2500 0.2500 0.2500  4 La 3.03
La 0.0000 0.0000 0.0000  4 Ta 3.03, 4 Ga 3.03
Ta 0.7500 0.7500 0.7500  4 La 3.03

Output
Magnetic moment: 2.5 μB per cell
Crystal system: cubic
Energy above the most stable polymorph in this dataset: 524 meV/atom
VASP energy: -5.40 eV per atom

Record 9
LaTbGa: relaxed, GGA-PBE.

Lattice parameters (Å, degrees): 5.0749 5.0749 5.0749 60.00 60.00 60.00
Closest atoms and distances in Å follow each position.
Positions (direct):
La 0.2500 0.2500 0.2500  4 Ga 3.11
Ga 0.0000 0.0000 0.0000  4 Tb 3.11, 4 La 3.11
Tb 0.7500 0.7500 0.7500  4 Ga 3.11

Output
Magnetic moment: 0.7 μB per cell
Crystal system: cubic
Energy above the most stable polymorph in this dataset: 0 meV/atom
VASP energy: -4.44 eV per atom

Record 10
LaGaTc: relaxed, GGA-PBE.

Lattice parameters (Å, degrees): 4.7745 4.7745 4.7745 60.00 60.00 60.00
Closest atoms and distances in Å follow each position.
Positions (direct):
La 0.2500 0.2500 0.2500  4 Tc 2.92, 4 Ga 2.92
Ga 0.5000 0.5000 0.5000  4 La 2.92
Tc 0.0000 0.0000 0.0000  4 La 2.92

Output
Magnetic moment: 0.9 μB per cell
Crystal system: cubic
VASP energy: -5.15 eV per atom

Record 11
La4GaTc: relaxed, GGA-PBE.

Lattice parameters (Å, degrees): 8.2591 8.2591 6.4296 105.08 105.08 112.53
Closest atoms and distances in Å follow each position.
Positions (direct):
La 0.0567 0.7074 0.4249  2 Tc 3.04-3.05, 2 Ga 3.21-3.32
La 0.9433 0.2926 0.5751  2 Tc 3.04-3.05, 2 Ga 3.21-3.32
La 0.2926 0.9433 0.0751  2 Tc 3.04-3.05, 2 Ga 3.21-3.32
La 0.7855 0.6437 0.8236  2 Tc 2.93-3.03, 1 Ga 3.23
La 0.3563 0.2145 0.6764  2 Tc 2.93-3.03, 1 Ga 3.23
La 0.6437 0.7855 0.3236  2 Tc 2.93-3.03, 1 Ga 3.23
La 0.2145 0.3563 0.1764  2 Tc 2.93-3.03, 1 Ga 3.23
La 0.7074 0.0567 0.9249  2 Tc 3.04-3.05, 2 Ga 3.21-3.32
Ga 0.6245 0.3755 0.2500  8 La 3.21-3.35
Ga 0.3755 0.6245 0.7500  8 La 3.21-3.35
Tc 0.0005 0.9995 0.2500  8 La 2.93-3.05, 2 Tc 3.21
Tc 0.9995 0.0005 0.7500  8 La 2.93-3.05, 2 Tc 3.21

Output
Magnetic moment: 0.0 μB per cell
Crystal system: monoclinic
VASP energy: -5.75 eV per atom

Record 12
La2TlZn2Ga: relaxed, GGA-PBE.

Lattice parameters (Å, degrees): 4.7108 4.7108 7.7506 90.00 90.00 120.00
Closest atoms and distances in Å follow each position.
Positions (direct):
Tl 0.3333 0.6667 0.9680  3 Zn 2.79
Ga 0.0000 0.0000 0.4638  3 Zn 2.77
Zn 0.3333 0.6667 0.5290  3 Ga 2.77
Zn 0.0000 0.0000 0.0455  3 Tl 2.79
La 0.6667 0.3333 0.7392  3 Zn 3.17, 3 Tl 3.25, 3 Ga 3.46
La 0.6667 0.3333 0.2545  6 Zn 3.17-3.45, 3 Ga 3.17, 3 Tl 3.51

Output
Magnetic moment: 0.0 μB per cell
Crystal system: trigonal
VASP energy: -3.43 eV per atom

Record 13
LaTmGa: relaxed, GGA-PBE.

Lattice parameters (Å, degrees): 5.0528 5.0528 5.0528 60.00 60.00 60.00
Closest atoms and distances in Å follow each position.
Positions (direct):
Tm 0.7500 0.7500 0.7500  4 Ga 3.09
La 0.2500 0.2500 0.2500  4 Ga 3.09
Ga 0.0000 0.0000 0.0000  4 La 3.09, 4 Tm 3.09

Output
Magnetic moment: 0.2 μB per cell
Crystal system: cubic
Energy above the most stable polymorph in this dataset: 0 meV/atom
VASP energy: -4.38 eV per atom

Record 14
LaTmGa2: relaxed, GGA-PBE.

Lattice parameters (Å, degrees): 4.1386 6.0120 6.0120 43.10 90.00 90.00
Closest atoms and distances in Å follow each position.
Positions (direct):
Ga 0.5000 0.9324 0.9324  2 Ga 2.62
Ga 0.0000 0.0767 0.0767  2 Ga 2.62
Tm 0.5000 0.6340 0.6340  7 Ga 3.09-3.34
La 0.0000 0.3569 0.3569  7 Ga 3.13-3.30

Output
Magnetic moment: 0.0 μB per cell
Crystal system: orthorhombic
VASP energy: -4.45 eV per atom

Record 15
LaTmZn2Ga2: relaxed, GGA-PBE.

Lattice parameters (Å, degrees): 4.4532 4.4532 7.4644 90.00 90.00 120.00
Closest atoms and distances in Å follow each position.
Positions (direct):
Ga 0.3333 0.6667 0.4907  3 Zn 2.62
Ga 0.6667 0.3333 0.9513  3 Zn 2.60
Zn 0.6667 0.3333 0.5564  3 Ga 2.62
Zn 0.3333 0.6667 0.0008  3 Ga 2.60
La 0.0000 0.0000 0.2513  6 Ga 3.13-3.41, 6 Zn 3.18-3.43
Tm 0.0000 0.0000 0.7495  6 Zn 2.95-3.18, 6 Ga 2.98-3.22

Output
Magnetic moment: 0.0 μB per cell
Crystal system: trigonal
VASP energy: -3.57 eV per atom

Record 16
LaUGa: relaxed, GGA-PBE.

Lattice parameters (Å, degrees): 4.9380 4.9380 4.9380 60.00 60.00 60.00
Closest atoms and distances in Å follow each position.
Positions (direct):
La 0.5000 0.5000 0.5000  4 U 3.02
Ga 0.0000 0.0000 0.0000  4 U 3.02
U 0.2500 0.2500 0.2500  4 La 3.02, 4 Ga 3.02

Output
Magnetic moment: 3.9 μB per cell
Crystal system: cubic
Energy above the most stable polymorph in this dataset: 0 meV/atom
VASP energy: -5.80 eV per atom

Record 17
LaGaW: relaxed, GGA-PBE.

Lattice parameters (Å, degrees): 4.9094 4.9094 4.9094 60.00 60.00 60.00
Closest atoms and distances in Å follow each position.
Positions (direct):
La 0.0000 0.0000 0.0000  4 W 3.01, 4 Ga 3.01
W 0.7500 0.7500 0.7500  4 La 3.01
Ga 0.2500 0.2500 0.2500  4 La 3.01

Output
Magnetic moment: 2.7 μB per cell
Crystal system: cubic
Energy above the most stable polymorph in this dataset: 694 meV/atom
VASP energy: -5.56 eV per atom

Record 18
LaGaW: relaxed, GGA-PBE.

Lattice parameters (Å, degrees): 4.6033 4.6033 4.6033 60.00 60.00 60.00
Closest atoms and distances in Å follow each position.
Positions (direct):
W 0.0000 0.0000 0.0000  4 La 2.82, 4 Ga 2.82
La 0.7500 0.7500 0.7500  4 W 2.82
Ga 0.2500 0.2500 0.2500  4 W 2.82

Output
Magnetic moment: 0.0 μB per cell
Crystal system: cubic
Energy above the most stable polymorph in this dataset: 0 meV/atom
VASP energy: -6.25 eV per atom

Record 19
LaZnGa: relaxed, GGA-PBE.

Lattice parameters (Å, degrees): 4.9346 4.9346 4.9346 60.00 60.00 60.00
Closest atoms and distances in Å follow each position.
Positions (direct):
Ga 0.2500 0.2500 0.2500  4 La 3.02
La 0.0000 0.0000 0.0000  4 Zn 3.02, 4 Ga 3.02
Zn 0.7500 0.7500 0.7500  4 La 3.02

Output
Magnetic moment: 0.0 μB per cell
Crystal system: cubic
VASP energy: -3.05 eV per atom

Record 20
LaZnGa: relaxed, GGA-PBE.

Lattice parameters (Å, degrees): 5.0785 5.0785 6.3270 90.00 90.00 120.00
Closest atoms and distances in Å follow each position.
Positions (direct):
La 0.6667 0.3333 0.2500  5 Ga 2.93-3.16
La 0.3333 0.6667 0.7500  5 Ga 2.93-3.16
Zn 0.0000 0.0000 0.0000  2 Zn 3.16, 6 La 3.33, 6 Ga 3.33
Zn 0.0000 0.0000 0.5000  2 Zn 3.16, 6 Ga 3.33, 6 La 3.33
Ga 0.3333 0.6667 0.2500  5 La 2.93-3.16
Ga 0.6667 0.3333 0.7500  5 La 2.93-3.16

Output
Magnetic moment: 0.0 μB per cell
Crystal system: hexagonal
VASP energy: -3.46 eV per atom